This record from Alexandria via LeMat-Bulk describes Cs2Fe2O after structural relaxation. The functional is GGA+U.

Cell and atoms, written as POSCAR:
```
Cs2Fe2O
1.0
7.519 0.000 0.000
0.000 7.519 0.000
3.760 3.760 4.395
Fe Cs O
2 2 1
Direct
0.789 0.789 0.423
0.211 0.211 0.577
0.250 0.750 0.500
0.750 0.250 0.500
0.000 0.000 0.000
```

DFT total energy ... -3.450 eV/atom